No. 1
A relaxed structure of Na8Hg6Pd. Source: Alexandria, functional PBE.

The structure in extended XYZ format:
```
15
Lattice="4.370 2.523 6.170 -4.370 2.523 6.170 0.000 -5.046 6.170" Properties=species:S:1:pos:R:3 pbc="T T T"
Na 0.000 0.000 1.983
Na -0.814 -1.893 6.883
Na -1.232 1.651 6.883
Na -2.046 -0.241 11.626
Na 2.046 0.241 6.883
Na 1.232 -1.651 11.626
Na 0.814 1.893 11.626
Na 0.000 0.000 16.526
Hg -2.968 -0.279 8.555
Hg -1.242 -2.710 9.954
Hg 1.726 -2.431 8.555
Hg -1.726 2.431 9.954
Hg 1.242 2.710 8.555
Hg 2.968 0.279 9.954
Pd 0.000 0.000 9.255
```

Computed properties:
calculated density: 6.1 Mg/m³
total DFT energy (no corrections): -1.32 eV per atom
energy above the most stable polymorph in this dataset: 0.0051 eV/atom

---

No. 2
A relaxed structure of Na3HgPd4. Source: Alexandria, functional PBE.

The structure in extended XYZ format:
```
8
Lattice="-2.664 3.634 4.661 2.664 -3.634 4.661 2.664 3.634 -4.661" Properties=species:S:1:pos:R:3 pbc="T T T"
Na 0.000 0.000 0.000
Na 2.664 1.948 -1.400
Na 0.000 1.686 3.261
Hg 2.664 0.000 3.818
Pd 2.664 1.326 1.500
Pd 1.354 3.634 1.452
Pd 1.310 0.000 6.113
Pd 0.000 2.308 6.161
```

Computed properties:
calculated density: 6.4 Mg/m³
total DFT energy (no corrections): -3.18 eV per atom

---

No. 3
A relaxed structure of Na2Hg2Pd. Source: Alexandria, functional PBE.

The structure in extended XYZ format:
```
10
Lattice="7.475 0.000 0.000 0.000 7.475 0.000 0.000 0.000 4.205" Properties=species:S:1:pos:R:3 pbc="T T T"
Na 1.097 2.640 0.000
Na 2.640 6.377 0.000
Na 4.835 1.097 0.000
Na 6.377 4.835 0.000
Hg 1.183 4.921 2.103
Hg 2.554 1.183 2.103
Hg 4.921 6.291 2.103
Hg 6.291 2.554 2.103
Pd 0.000 0.000 0.000
Pd 3.737 3.737 0.000
```

Computed properties:
calculated density: 7.8 Mg/m³
total DFT energy (no corrections): -1.65 eV per atom
energy above the most stable polymorph in this dataset: 0.2452 eV/atom

---

No. 4
A relaxed structure of Na4Hg4Pd. Source: Alexandria, functional PBE.

The structure in extended XYZ format:
```
9
Lattice="-4.008 4.008 4.289 4.008 -4.008 4.289 4.008 4.008 -4.289" Properties=species:S:1:pos:R:3 pbc="T T T"
Na 4.008 0.000 0.000
Na 0.000 0.000 1.522
Na 0.000 4.008 0.000
Na 0.000 0.000 7.056
Hg 1.851 -1.851 3.385
Hg 2.157 2.157 0.903
Hg -1.851 1.851 3.385
Hg 1.851 1.851 5.192
Pd 0.000 0.000 4.289
```

Computed properties:
calculated density: 6.0 Mg/m³
total DFT energy (no corrections): -1.34 eV per atom
energy above the most stable polymorph in this dataset: 0.1580 eV/atom

---

No. 5
A relaxed structure of Na4Hg7Pd. Source: Alexandria, functional PBE.

The structure in extended XYZ format:
```
12
Lattice="5.049 0.000 0.000 -2.525 4.373 0.000 0.000 0.000 12.930" Properties=species:S:1:pos:R:3 pbc="T T T"
Na 0.000 2.915 2.009
Na 0.000 2.915 5.373
Na 2.525 1.458 7.557
Na 2.525 1.458 10.921
Hg 0.000 0.000 2.938
Hg 0.000 0.000 6.465
Hg 0.000 0.000 9.992
Hg 0.000 2.915 8.710
Hg 0.000 2.915 11.994
Hg 2.525 1.458 0.936
Hg 2.525 1.458 4.220
Pd 0.000 0.000 0.000
```

Computed properties:
calculated density: 9.3 Mg/m³
total DFT energy (no corrections): -1.24 eV per atom

---

No. 6
A relaxed structure of NaHg2Pd. Source: Alexandria, functional PBE.

The structure in extended XYZ format:
```
8
Lattice="-2.207 2.207 9.808 2.207 -2.207 9.808 2.207 2.207 -9.808" Properties=species:S:1:pos:R:3 pbc="T T T"
Na 0.000 0.000 0.000
Na 0.000 2.207 4.904
Hg 1.104 -0.978 7.356
Hg 1.229 1.104 2.452
Hg 1.104 3.185 -2.452
Hg 0.978 1.104 12.260
Pd 2.207 0.000 4.904
Pd 0.000 0.000 9.808
```

Computed properties:
calculated density: 9.2 Mg/m³
total DFT energy (no corrections): -1.79 eV per atom

---

No. 7
A relaxed structure of Na3Hg4Pd. Source: Alexandria, functional PBE.

The structure in extended XYZ format:
```
8
Lattice="-3.130 5.345 3.117 3.130 -5.345 3.117 3.130 5.345 -3.117" Properties=species:S:1:pos:R:3 pbc="T T T"
Na 0.000 0.000 0.000
Na 0.000 3.234 1.748
Na 0.000 7.456 1.748
Hg 3.130 -2.642 1.665
Hg 1.649 5.345 -0.049
Hg 1.481 0.000 3.068
Hg 3.130 2.642 1.665
Pd 3.130 0.000 0.777
```

Computed properties:
calculated density: 7.8 Mg/m³
total DFT energy (no corrections): -1.44 eV per atom
energy above the most stable polymorph in this dataset: 0.0586 eV/atom

---

No. 8
A relaxed structure of Na6Hg12Pd. Source: Alexandria, functional PBE.

The structure in extended XYZ format:
```
19
Lattice="5.810 3.354 4.158 -5.810 3.354 4.158 0.000 -6.708 4.158" Properties=species:S:1:pos:R:3 pbc="T T T"
Na -0.992 -3.148 5.559
Na -3.222 -0.715 6.914
Na -2.230 2.433 5.559
Na 2.230 -2.433 6.914
Na 3.222 0.715 5.559
Na 0.992 3.148 6.914
Hg -3.929 -3.889 7.021
Hg -5.333 1.458 5.452
Hg -1.863 -0.484 4.116
Hg 1.404 -5.347 5.452
Hg 1.350 -1.371 4.116
Hg 0.513 1.855 4.116
Hg -0.513 -1.855 8.357
Hg -1.350 1.372 8.357
Hg -1.404 5.347 7.021
Hg 1.863 0.484 8.357
Hg 5.333 -1.458 7.021
Hg 3.929 3.889 5.452
Pd 0.000 0.000 6.236
```

Computed properties:
calculated density: 9.1 Mg/m³
total DFT energy (no corrections): -1.08 eV per atom

---

No. 9
A relaxed structure of Na8Hg3Pd. Source: Alexandria, functional PBE.

The structure in extended XYZ format:
```
12
Lattice="5.556 -5.530 0.000 5.556 5.530 0.000 -5.022 0.000 6.036" Properties=species:S:1:pos:R:3 pbc="T T T"
Na 0.000 0.000 0.000
Na -2.413 0.000 3.414
Na 3.461 0.000 1.116
Na 3.604 1.886 4.135
Na 6.332 2.696 2.403
Na 6.841 0.000 0.423
Na 3.604 -1.886 4.135
Na 6.332 -2.696 2.403
Hg 3.570 3.176 1.099
Hg 0.830 0.000 3.526
Hg 3.570 -3.176 1.099
Pd 5.674 0.000 3.113
```

Computed properties:
calculated density: 4.0 Mg/m³
total DFT energy (no corrections): -1.47 eV per atom

---

No. 10
A relaxed structure of Na2HgPd. Source: Alexandria, functional PBE.

The structure in extended XYZ format:
```
4
Lattice="3.200 0.000 0.000 0.000 3.200 0.000 0.000 0.000 8.646" Properties=species:S:1:pos:R:3 pbc="T T T"
Na 0.000 0.000 1.895
Na 0.000 0.000 6.751
Hg 1.600 1.600 4.323
Pd 1.600 1.600 0.000
```

Computed properties:
calculated density: 6.6 Mg/m³
total DFT energy (no corrections): -2.16 eV per atom

---

No. 11
A relaxed structure of Na2HgPd2. Source: Alexandria, functional PBE.

The structure in extended XYZ format:
```
10
Lattice="8.024 0.000 0.000 0.000 8.024 0.000 0.000 0.000 3.026" Properties=species:S:1:pos:R:3 pbc="T T T"
Na 0.988 3.024 0.000
Na 3.024 7.036 0.000
Na 5.000 0.988 0.000
Na 7.036 5.000 0.000
Hg 0.000 0.000 0.000
Hg 4.012 4.012 0.000
Pd 1.429 5.441 1.513
Pd 2.583 1.429 1.513
Pd 5.441 6.594 1.513
Pd 6.594 2.583 1.513
```

Computed properties:
calculated density: 7.8 Mg/m³
total DFT energy (no corrections): -2.61 eV per atom
energy above the most stable polymorph in this dataset: 0.2258 eV/atom